No. 1
DFT (PBE) results for crystalline SiRu2W at its relaxed geometry.

Cell: 2.788 4.076 5.204 Å, 90.00 105.46 90.00°
Space group Pm (No. 6)
Asymmetric unit:
Si 0.000 0.000 0.000 x1
Ru 0.244 0.000 0.494 x1
Ru 0.877 0.500 0.759 x1
W 0.618 0.500 0.238 x1

Properties
Formation energy without anion corrections (kJ/mol of formula units): -43

No. 2
DFT (PBE) results for crystalline PmFe4Hg at its relaxed geometry.

Cell: 7.262 7.262 7.262 Å, 90.00 90.00 90.00°
Space group F-43m (No. 216)
Asymmetric unit:
Pm 0.000 0.000 0.000 x4
Fe 0.125 0.125 0.625 x16
Hg 0.250 0.250 0.250 x4

Properties
E_form (eV per atom): 0.07

| no. | mass density (g/cm³) | magnetic moment (Bohr magnetons per cell) |
| --- | --- | --- |
| 1 | 12.1 | 0.00 |
| 2 | 9.9 | 36.23 |